No. 1
Pa3Tl4Te8Pd after structural relaxation. Source: Alexandria, functional PBE-GGA.

For the formation energy without anion corrections, the calculation gives -0.543 eV per atom. For the spin magnetization, the calculation gives 3.2 μB per formula unit.

The space group is C2/m (No. 12) and the conventional cell measures 14.965, 8.623 and 9.762 Å, with angles of 90.00, 120.77 and 90.00 degrees. The asymmetric unit holds Pa at (0.000, 0.000, 0.000), Pa at (0.250, 0.250, 0.000), Tl at (0.000, 0.000, 0.500), Tl at (0.000, 0.500, 0.500), Tl at (0.250, 0.250, 0.500), Te at (0.012, 0.257, 0.793), Te at (0.232, 0.500, 0.208), Te at (0.240, 0.000, 0.221) and Pd at (0.000, 0.500, 0.000).

=====

No. 2
Pa2Tl3Te6Pd after structural relaxation. Source: Alexandria, functional PBE-GGA.

For the formation energy without anion corrections, the calculation gives -0.538 eV per atom. For the spin magnetization, the calculation gives 1.0 μB per formula unit.

The space group is C2/m (No. 12) and the conventional cell measures 7.376, 12.864 and 8.734 Å, with angles of 90.00, 106.43 and 90.00 degrees. The asymmetric unit holds Pa at (0.000, 0.166, 0.000), Tl at (0.000, 0.000, 0.500), Tl at (0.000, 0.329, 0.500), Te at (0.233, 0.336, 0.210), Te at (0.244, 0.000, 0.209) and Pd at (0.000, 0.500, 0.000).

=====

No. 3
PaTl3Te6Pd2 after structural relaxation. Source: Alexandria, functional PBE-GGA.

For the formation energy without anion corrections, the calculation gives -0.415 eV per atom. For the spin magnetization, the calculation gives 0.0 μB per formula unit.

The space group is C2/m (No. 12) and the conventional cell measures 7.001, 12.101 and 8.923 Å, with angles of 90.00, 104.99 and 90.00 degrees. The asymmetric unit holds Pa at (0.000, 0.000, 0.000), Tl at (0.000, 0.158, 0.500), Tl at (0.000, 0.500, 0.500), Te at (0.205, 0.500, 0.193), Te at (0.245, 0.180, 0.197) and Pd at (0.000, 0.333, 0.000).

=====

> Which formula does entry 1 have?

Pa3Tl4Te8Pd